1.
Here is Sc3SN at its PBEsol-relaxed geometry from Alexandria. Energies are from SCAN.

Calculated total energy: -0.493 Ha/atom
Crystal system: cubic
Uncorrected formation energy: -1.08 eV/atom
M_tot: 0.000 μB per atom

```
5
Lattice="-4.0742 0.2404 -1.3172 -0.0159 -4.2273 -0.7223 -1.3388 -0.6813 4.0169" Properties=species:S:1:pos:R:3 pbc="T T T"
S -2.7145 -2.3341 0.9887
N 0.0000 0.0000 0.0000
Sc -0.6694 -0.3407 2.0084
Sc -2.0371 0.1202 -0.6586
Sc -0.0079 -2.1137 -0.3611
```

---

2.
Here is ScS2N2 at its PBEsol-relaxed geometry from Alexandria. Energies are from SCAN.

Calculated total energy: -0.359 Ha/atom
Crystal system: tetragonal
Uncorrected formation energy: 0.64 eV/atom
M_tot: 0.000 μB per atom

```
5
Lattice="-3.5393 0.2089 1.6809 0.2914 -3.7607 1.0808 1.6404 1.0812 3.3197" Properties=species:S:1:pos:R:3 pbc="T T T"
N 0.8202 0.5406 1.6599
N 0.0000 0.0000 0.0000
S 0.1457 -1.8803 0.5404
Sc -0.8038 -1.2353 3.0407
S -1.7697 0.1044 0.8405
```

---

3.
Here is ScSeSN2 at its PBEsol-relaxed geometry from Alexandria. Energies are from SCAN.

Calculated total energy: -0.439 Ha/atom
Crystal system: tetragonal
Uncorrected formation energy: 0.56 eV/atom
M_tot: 0.000 μB per atom

```
5
Lattice="3.8150 0.0000 0.0000 0.0000 3.8150 0.0000 0.0000 0.0000 4.6834" Properties=species:S:1:pos:R:3 pbc="T T T"
Sc 1.9075 1.9075 2.3417
S 0.0000 0.0000 2.3417
Se 0.0000 0.0000 0.0000
N 1.9075 0.0000 0.0000
N 0.0000 1.9075 0.0000
```